[1]
A plane-wave DFT calculation with PBE was carried out for a relaxed K2TmZn2Te4 crystal.

Lattice parameters (Å, degrees): 8.4130 8.4130 8.2971 108.78 108.78 32.46
Fractional positions:
K  0.1313  0.1313  0.0683
K  0.8687  0.8687  0.9317
Tm  0.0000  0.0000  0.5000
Zn  0.3264  0.3264  0.5013
Zn  0.6736  0.6736  0.4987
Te  0.2026  0.2026  0.6760
Te  0.4899  0.4899  0.7405
Te  0.5101  0.5101  0.2595
Te  0.7974  0.7974  0.3240

Values from the calculation:
Magnetization   0.00 μB/cell
VASP energy   -3.2594 eV/atom

=====

[2]
A plane-wave DFT calculation with PBE was carried out for a relaxed SrY3Sn crystal.

Lattice parameters (Å, degrees): 5.6003 5.6003 5.6003 90.00 90.00 90.00
Fractional positions:
Sr  0.0000  0.0000  0.0000
Y  0.0000  0.0000  0.5000
Y  0.0000  0.5000  0.0000
Y  0.5000  0.0000  0.0000
Sn  0.5000  0.5000  0.5000

Values from the calculation:
Magnetization   0.00 μB/cell
VASP energy   -3.9630 eV/atom
E above lowest polymorph   0.981 eV per atom
Calculated formation energy   1052 meV/atom

=====

[3]
A plane-wave DFT calculation with PBE was carried out for a relaxed NdPd2Pt4 crystal.

Lattice parameters (Å, degrees): 6.2394 6.2394 6.2394 100.16 100.16 130.32
Fractional positions:
Nd  0.0000  0.0000  0.0000
Pd  0.2500  0.7500  0.5000
Pd  0.7500  0.2500  0.5000
Pt  0.2791  0.5000  0.7791
Pt  0.5000  0.2791  0.7791
Pt  0.5000  0.7209  0.2209
Pt  0.7209  0.5000  0.2209

Values from the calculation:
Magnetization   0.00 μB/cell
VASP energy   -5.4913 eV/atom
E above lowest polymorph   0.603 eV per atom
Calculated formation energy   125 meV/atom